i | Computed, not measured: a relaxed structure of RbZnSe2Br at the PBE-GGA level of DFT.

The structure in CIF format:
```
data_RbZnSe2Br
_chemical_formula_sum 'Rb1 Zn1 Se2 Br1'
_cell_length_a 4.924
_cell_length_b 4.924
_cell_length_c 6.131
_cell_angle_alpha 90.00
_cell_angle_beta 90.00
_cell_angle_gamma 90.00
_symmetry_space_group_name_H-M 'P 4/m m m'
_symmetry_Int_Tables_number 123
_symmetry_space_group_name_Hall '-P 4 2'
loop_
_atom_site_label
_atom_site_type_symbol
_atom_site_fract_x
_atom_site_fract_y
_atom_site_fract_z
Rb1 Rb 0.000 0.000 0.000
Zn1 Zn 0.500 0.500 0.500
Se1 Se 0.000 0.500 0.500
Br1 Br 0.500 0.500 0.000
```



ii | Computed, not measured: a relaxed structure of RbZnSe2Br at the PBE-GGA level of DFT.

The structure in CIF format:
```
data_RbZnSe2Br
_chemical_formula_sum 'Rb1 Zn1 Se2 Br1'
_cell_length_a 6.789
_cell_length_b 6.789
_cell_length_c 6.441
_cell_angle_alpha 90.00
_cell_angle_beta 90.00
_cell_angle_gamma 90.00
_symmetry_space_group_name_H-M 'P 4/m m m'
_symmetry_Int_Tables_number 123
_symmetry_space_group_name_Hall '-P 4 2'
loop_
_atom_site_label
_atom_site_type_symbol
_atom_site_fract_x
_atom_site_fract_y
_atom_site_fract_z
Rb1 Rb 0.000 0.000 0.000
Zn1 Zn 0.500 0.500 0.500
Se1 Se 0.000 0.500 0.000
Br1 Br 0.000 0.000 0.500
```



Structures ranked by computed energy, the most stable listed first: i, ii.



i | Computed, not measured: a relaxed structure of RbZrSe2Br at the PBE-GGA level of DFT.

The structure in CIF format:
```
data_RbZrSe2Br
_chemical_formula_sum 'Rb1 Zr1 Se2 Br1'
_cell_length_a 5.650
_cell_length_b 5.650
_cell_length_c 5.676
_cell_angle_alpha 90.00
_cell_angle_beta 90.00
_cell_angle_gamma 90.00
_symmetry_space_group_name_H-M 'P 4/m m m'
_symmetry_Int_Tables_number 123
_symmetry_space_group_name_Hall '-P 4 2'
loop_
_atom_site_label
_atom_site_type_symbol
_atom_site_fract_x
_atom_site_fract_y
_atom_site_fract_z
Rb1 Rb 0.000 0.000 0.000
Zr1 Zr 0.500 0.500 0.500
Se1 Se 0.000 0.500 0.000
Br1 Br 0.000 0.000 0.500
```



ii | Computed, not measured: a relaxed structure of RbZrSe2Br at the PBE-GGA level of DFT.

The structure in CIF format:
```
data_RbZrSe2Br
_chemical_formula_sum 'Rb1 Zr1 Se2 Br1'
_cell_length_a 5.277
_cell_length_b 5.277
_cell_length_c 5.553
_cell_angle_alpha 90.00
_cell_angle_beta 90.00
_cell_angle_gamma 90.00
_symmetry_space_group_name_H-M 'P 4/m m m'
_symmetry_Int_Tables_number 123
_symmetry_space_group_name_Hall '-P 4 2'
loop_
_atom_site_label
_atom_site_type_symbol
_atom_site_fract_x
_atom_site_fract_y
_atom_site_fract_z
Rb1 Rb 0.000 0.000 0.000
Zr1 Zr 0.500 0.500 0.500
Se1 Se 0.000 0.500 0.500
Br1 Br 0.500 0.500 0.000
```



Structures ranked by computed energy, the most stable listed first: ii, i.